No. 1
## Ba2HgBr (PBE)

Data for a geometry-optimized Ba2HgBr structure.

Cell and atoms, written as POSCAR:
```
Ba2HgBr
1.0
2.373 1.370 8.696
-2.373 1.370 8.696
0.000 -2.740 8.696
Ba Hg Br
2 1 1
direct
0.247 0.247 0.247 Ba
0.753 0.753 0.753 Ba
0.500 0.500 0.500 Hg
0.000 0.000 0.000 Br
```

raw formation energy: -4.13 eV/f.u.
spin magnetization: 0.4 μB/cell
total DFT energy (no corrections): -2.4865 eV per atom
D(E_F): 0.957 states/eV per atom
calculated density: 5.4 g/cm3
symmetry: No. 166

***

No. 2
## BaLi2Te (PBE)

Data for a geometry-optimized BaLi2Te structure.

Cell and atoms, written as POSCAR:
```
BaLi2Te
1.0
-2.125 2.273 6.494
2.125 -2.273 6.494
2.125 2.273 -6.494
Ba Li Te
1 2 1
direct
0.000 0.000 0.000 Ba
0.265 0.765 0.500 Li
0.641 0.641 0.000 Li
0.769 0.269 0.500 Te
```

raw formation energy: -2.39 eV/f.u.
spin magnetization: 0.2 μB/cell
total DFT energy (no corrections): -2.8215 eV per atom
D(E_F): 0.506 states/eV per atom
calculated density: 3.7 g/cm3
symmetry: No. 44

***

No. 3
## SrMnP2Os (PBE)

Data for a geometry-optimized SrMnP2Os structure.

Cell and atoms, written as POSCAR:
```
SrMnP2Os
1.0
-1.958 1.958 5.965
1.958 -1.958 5.965
1.958 1.958 -5.965
Sr Mn P Os
1 1 2 1
direct
0.000 0.000 0.000 Sr
0.250 0.750 0.500 Mn
0.355 0.355 0.000 P
0.645 0.645 0.000 P
0.750 0.250 0.500 Os
```

spin magnetization: 1.8 μB/cell
total DFT energy (no corrections): -7.2800 eV per atom
D(E_F): 0.649 states/eV per atom
calculated density: 7.2 g/cm3
symmetry: No. 119
energy of formation from the pure elements: -0.700 eV per atom

***

No. 4
## LiCa2Ir2 (PBE)

Data for a geometry-optimized LiCa2Ir2 structure.

Cell and atoms, written as POSCAR:
```
LiCa2Ir2
1.0
6.885 0.000 0.000
0.000 6.885 0.000
0.000 0.000 4.426
Li Ca Ir
2 4 4
direct
0.000 0.000 0.000 Li
0.500 0.500 0.000 Li
0.173 0.327 0.500 Ca
0.327 0.827 0.500 Ca
0.673 0.173 0.500 Ca
0.827 0.673 0.500 Ca
0.128 0.628 0.000 Ir
0.372 0.128 0.000 Ir
0.628 0.872 0.000 Ir
0.872 0.372 0.000 Ir
```

spin magnetization: 1.5 μB/cell
total DFT energy (no corrections): -4.8440 eV per atom
D(E_F): 0.804 states/eV per atom
calculated density: 7.5 g/cm3
symmetry: No. 127
energy of formation from the pure elements: -0.116 eV per atom